Material: GdAgNO
Method: DFT, GGA-PBE
State: relaxed

Calculated values
Size of the total moment (μB per cell): 2.00
Energy above the most stable polymorph in this dataset (meV per atom): 165

a b c (Å): 3.8694 3.8694 7.7539
angles (deg): 90.00 90.00 90.00
Last column: magnetic moment on the atom in μB.
Fractional positions:
O  0.0000  0.0000  0.0000  0.03
O  0.5000  0.5000  0.0000  0.03
Ag  0.5000  0.5000  0.5000  0.18
Ag  0.0000  0.0000  0.5000  0.18
N  0.0000  0.5000  0.6766  0.58
N  0.5000  0.0000  0.3234  0.58
Gd  0.0000  0.5000  0.1479  -0.01
Gd  0.5000  0.0000  0.8521  -0.01

***

Material: NbIrAu
Method: DFT, GGA-PBE
State: relaxed

Calculated values
Energy relative to the elements (meV/atom): 226
Size of the total moment (μB per cell): 0.00
Energy above the most stable polymorph in this dataset (meV per atom): 86

a b c (Å): 4.3744 4.3744 4.3744
angles (deg): 60.00 60.00 60.00
Fractional positions:
Au  0.2500  0.2500  0.2500
Ir  0.7500  0.7500  0.7500
Nb  0.0000  0.0000  0.0000

***

Material: RbPmCu
Method: DFT, GGA-PBE
State: relaxed

Calculated values
Size of the total moment (μB per cell): 0.05
Energy above the most stable polymorph in this dataset (meV per atom): 0

a b c (Å): 5.2228 5.2228 5.2228
angles (deg): 60.00 60.00 60.00
Fractional positions:
Rb  0.7500  0.7500  0.7500
Cu  0.0000  0.0000  0.0000
Pm  0.2500  0.2500  0.2500

***

Material: LaNdCu2Bi2Sb2
Method: DFT, GGA-PBE
State: relaxed

Calculated values
Size of the total moment (μB per cell): 0.00
Total DFT energy (no corrections) (eV/f.u.): -38.62

a b c (Å): 4.4945 4.4945 10.0977
angles (deg): 90.00 90.00 90.00
Fractional positions:
Nd  0.5000  0.5000  0.7638
Sb  0.5000  0.5000  0.1462
Sb  0.0000  0.0000  0.8498
Cu  0.5000  0.0000  0.9978
Cu  0.0000  0.5000  0.9978
Bi  0.0000  0.5000  0.5036
Bi  0.5000  0.0000  0.5036
La  0.0000  0.0000  0.2372

***

Material: LiScCoAs
Method: DFT, GGA-PBE
State: relaxed

Calculated values
Size of the total moment (μB per cell): 0.00
Energy above the most stable polymorph in this dataset (meV per atom): 205

a b c (Å): 4.2835 4.2835 4.2835
angles (deg): 60.00 60.00 60.00
Fractional positions:
Co  0.0000  0.0000  0.0000
Li  0.7500  0.7500  0.7500
Sc  0.5000  0.5000  0.5000
As  0.2500  0.2500  0.2500

***

Material: LiAgNO
Method: DFT, GGA-PBE
State: relaxed

Calculated values
Energy above the most stable polymorph in this dataset (meV per atom): 264

a b c (Å): 3.1549 5.4284 5.5950
angles (deg): 90.00 90.00 90.00
Fractional positions:
N  0.0000  0.3799  0.6135
N  0.0000  0.8799  0.3865
Ag  0.0000  0.0333  0.7162
Ag  0.0000  0.5333  0.2838
Li  0.5000  0.5067  0.8119
Li  0.5000  0.0067  0.1881
O  0.5000  0.8341  0.8944
O  0.5000  0.3341  0.1056

***

Material: AlW4C3
Method: DFT, GGA-PBE
State: relaxed

Calculated values
Size of the total moment (μB per cell): 0.00
Total DFT energy (no corrections) (eV/f.u.): -81.73

a b c (Å): 3.0603 3.0603 23.8203
angles (deg): 90.00 90.00 120.00
Fractional positions:
W  0.0000  0.0000  0.8416
W  0.0000  0.0000  0.6584
W  0.0000  0.0000  0.1584
W  0.6667  0.3333  0.5534
W  0.0000  0.0000  0.3416
W  0.6667  0.3333  0.9466
W  0.3333  0.6667  0.4466
W  0.3333  0.6667  0.0534
C  0.0000  0.0000  0.0000
C  0.6667  0.3333  0.3907
C  0.0000  0.0000  0.5000
C  0.6667  0.3333  0.1093
C  0.3333  0.6667  0.8907
C  0.3333  0.6667  0.6093
Al  0.6667  0.3333  0.7500
Al  0.3333  0.6667  0.2500

***

Material: Y3Te5Pt
Method: DFT, GGA-PBE
State: relaxed

Calculated values
Size of the total moment (μB per cell): 0.00
Energy above the most stable polymorph in this dataset (meV per atom): 0

a b c (Å): 8.6970 8.6970 4.1111
angles (deg): 90.00 90.00 120.00
Fractional positions:
Te  0.6976  0.0000  0.0000
Te  0.6667  0.3333  0.5000
Te  0.3333  0.6667  0.5000
Te  0.3024  0.3024  0.0000
Te  0.0000  0.6976  0.0000
Pt  0.0000  0.0000  0.0000
Y  0.0000  0.2729  0.5000
Y  0.2729  0.0000  0.5000
Y  0.7271  0.7271  0.5000

***

Material: NbBiN2O
Method: DFT, GGA-PBE
State: relaxed

Calculated values
Size of the total moment (μB per cell): 0.01
Total DFT energy (no corrections) (eV/f.u.): -37.60

a b c (Å): 6.1961 6.1961 12.9537
angles (deg): 90.00 90.00 120.00
Fractional positions:
Nb  0.3336  0.0000  0.0009
Nb  0.0000  0.3336  0.0009
Nb  0.0000  0.6664  0.5009
Nb  0.6664  0.0000  0.5009
Nb  0.3336  0.3336  0.5009
Nb  0.6664  0.6664  0.0009
N  0.0000  0.3568  0.8478
N  0.0000  0.6432  0.3478
N  0.6432  0.0000  0.3478
N  0.6818  0.0000  0.6564
N  0.3568  0.3568  0.3478
N  0.3182  0.0000  0.1564
N  0.6432  0.6432  0.8478
N  0.0000  0.6818  0.6564
N  0.0000  0.3182  0.1564
N  0.3182  0.3182  0.6564
N  0.3568  0.0000  0.8478
N  0.6818  0.6818  0.1564
Bi  0.6667  0.3333  0.2485
Bi  0.6667  0.3333  0.7485
Bi  0.0000  0.0000  0.2561
Bi  0.3333  0.6667  0.2485
Bi  0.3333  0.6667  0.7485
Bi  0.0000  0.0000  0.7561
O  0.3333  0.6667  0.0073
O  0.6667  0.3333  0.5073
O  0.3333  0.6667  0.5073
O  0.0000  0.0000  0.4908
O  0.0000  0.0000  0.9908
O  0.6667  0.3333  0.0073

***

Material: Lu2Fe3W4C3
Method: DFT, GGA-PBE
State: relaxed

Calculated values
Size of the total moment (μB per cell): 11.33
Total DFT energy (no corrections) (eV/f.u.): -115.61

a b c (Å): 5.3387 5.3387 13.7162
angles (deg): 101.62 101.62 59.99
Last column: magnetic moment on the atom in μB.
Fractional positions:
W  0.3065  0.1476  0.9153  -0.06
W  0.2063  0.0156  0.5848  -0.06
W  0.7937  0.9844  0.4152  -0.06
W  0.1476  0.3065  0.4153  -0.05
W  0.0156  0.2063  0.0848  -0.06
W  0.9844  0.7937  0.9152  -0.06
W  0.8524  0.6935  0.5847  -0.05
W  0.6935  0.8524  0.0847  -0.06
C  0.3321  0.8361  0.0001  0.00
C  0.6679  0.1639  0.9999  0.00
C  0.1639  0.6679  0.4999  0.00
C  0.8361  0.3321  0.5001  0.00
C  0.5000  0.0000  0.5000  -0.01
C  0.0000  0.5000  0.0000  -0.01
Fe  0.4150  0.0908  0.2492  2.07
Fe  0.0808  0.9192  0.7500  2.12
Fe  0.9092  0.5850  0.2508  2.07
Fe  0.9192  0.0808  0.2500  2.12
Fe  0.5850  0.9092  0.7508  2.07
Fe  0.0908  0.4150  0.7492  2.07
Lu  0.5436  0.3779  0.6245  -0.13
Lu  0.3779  0.5436  0.1245  -0.13
Lu  0.4564  0.6221  0.3755  -0.13
Lu  0.6221  0.4564  0.8755  -0.13

***

Material: RbCdSbTe3
Method: DFT, GGA-PBE
State: relaxed

Calculated values
Total DFT energy (no corrections) (eV/f.u.): -18.40

a b c (Å): 8.4226 8.4226 11.7879
angles (deg): 90.00 90.00 148.47
Fractional positions:
Rb  0.7502  0.2498  0.7500
Rb  0.2498  0.7502  0.2500
Cd  0.9542  0.0458  0.2500
Cd  0.0458  0.9542  0.7500
Sb  0.5000  0.5000  0.0000
Sb  0.5000  0.5000  0.5000
Te  0.4362  0.5638  0.7500
Te  0.1296  0.8704  0.9605
Te  0.8704  0.1296  0.4605
Te  0.5638  0.4362  0.2500
Te  0.8704  0.1296  0.0395
Te  0.1296  0.8704  0.5395

***

Material: Sr3Sb4Pd4
Method: DFT, GGA-PBE
State: relaxed

Calculated values
Total DFT energy (no corrections) (eV/f.u.): -51.42

a b c (Å): 4.4632 4.6374 13.5631
angles (deg): 90.00 90.00 90.00
Fractional positions:
Sb  0.5000  0.0000  0.8935
Sb  0.5000  0.0000  0.1065
Sb  0.5000  0.5000  0.3848
Sb  0.5000  0.5000  0.6152
Sr  0.0000  0.5000  0.0000
Sr  0.0000  0.0000  0.6972
Sr  0.0000  0.0000  0.3028
Pd  0.5000  0.5000  0.8087
Pd  0.5000  0.5000  0.1913
Pd  0.0000  0.5000  0.5000
Pd  0.5000  0.0000  0.5000

***

Material: NdTmAlNi2
Method: DFT, GGA-PBE
State: relaxed

Calculated values
Size of the total moment (μB per cell): 0.01
Total DFT energy (no corrections) (eV/f.u.): -26.62

a b c (Å): 5.4074 5.4074 5.4074
angles (deg): 134.28 119.95 78.61
Fractional positions:
Ni  0.7335  0.5001  0.2334
Ni  0.2667  0.5001  0.7666
Nd  0.2958  0.7958  0.5000
Tm  0.7041  0.2041  0.5000
Al  0.9998  0.9998  0.0000

***

Material: LuFeBiIr
Method: DFT, GGA-PBE
State: relaxed

Calculated values
Size of the total moment (μB per cell): 3.17
Energy above the most stable polymorph in this dataset (meV per atom): 180

a b c (Å): 4.7356 4.7356 4.7356
angles (deg): 60.00 60.00 60.00
Fractional positions:
Lu  0.2500  0.2500  0.2500
Ir  0.5000  0.5000  0.5000
Bi  0.0000  0.0000  0.0000
Fe  0.7500  0.7500  0.7500